This record from the Alexandria database describes a relaxed Na2HgSbPd crystal. The functional is PBE-GGA.

Cell: 5.6490 5.6490 4.9344 Å, 90.00 90.00 90.00°
Fractional coordinates of all 5 atoms:
Sb  0.0000  0.0000  0.5000
Hg  0.5000  0.5000  0.5000
Pd  0.0000  0.0000  0.0000
Na  0.0000  0.5000  0.0000
Na  0.5000  0.0000  0.0000

Calculated values
magnetic moment: 0.0 Bohr magnetons per cell
symmetry: P4/mmm (123)
calculated total energy: -2.6316 eV/atom
formation energy without anion corrections: -0.18 eV per atom
DOS at the Fermi energy: 2.2 states/eV/f.u.

This record from the Alexandria database describes a relaxed NaScHgPd crystal. The functional is PBE-GGA.

Cell: 4.8381 4.8381 4.8381 Å, 60.00 60.00 60.00°
Fractional coordinates of all 4 atoms:
Sc  0.5000  0.5000  0.5000
Na  0.0000  0.0000  0.0000
Hg  0.7500  0.7500  0.7500
Pd  0.2500  0.2500  0.2500

Calculated values
magnetic moment: 0.0 Bohr magnetons per cell
ΔH_f (0 K): -7.41 kcal/mol of atoms
symmetry: F-43m (216)
calculated total energy: -3.6074 eV/atom
DOS at the Fermi energy: 2.2 states/eV/f.u.

This record from the Alexandria database describes a relaxed NaHgPd2Se crystal. The functional is PBE-GGA.

Cell: 5.1775 5.2150 5.1775 Å, 90.00 90.00 90.00°
Fractional coordinates of all 5 atoms:
Na  0.5000  0.5000  0.5000
Se  0.0000  0.5000  0.0000
Hg  0.0000  0.0000  0.0000
Pd  0.0000  0.0000  0.5000
Pd  0.5000  0.0000  0.0000

Calculated values
magnetic moment: 0.0 Bohr magnetons per cell
symmetry: P4/mmm (123)
calculated total energy: -2.7344 eV/atom
formation energy without anion corrections: 0.36 eV per atom
DOS at the Fermi energy: 2.2 states/eV/f.u.

This record from the Alexandria database describes a relaxed NaSi2HgPd crystal. The functional is PBE-GGA.

Cell: 4.7312 5.3301 4.7312 Å, 90.00 90.00 90.00°
Fractional coordinates of all 5 atoms:
Na  0.5000  0.5000  0.5000
Si  0.0000  0.0000  0.5000
Si  0.5000  0.0000  0.0000
Hg  0.0000  0.5000  0.0000
Pd  0.0000  0.0000  0.0000

Calculated values
magnetic moment: 0.0 Bohr magnetons per cell
symmetry: P4/mmm (123)
calculated total energy: -3.2781 eV/atom
formation energy without anion corrections: 0.25 eV per atom
DOS at the Fermi energy: 3.4 states/eV/f.u.

This record from the Alexandria database describes a relaxed Na2Si2HgPd5 crystal. The functional is PBE-GGA.

Cell: 3.2885 10.3016 10.3016 Å, 90.00 90.00 90.00°
Fractional coordinates of all 20 atoms:
Na  0.0000  0.6745  0.1745
Na  0.0000  0.3255  0.8255
Na  0.0000  0.1745  0.3255
Na  0.0000  0.8255  0.6745
Si  0.0000  0.1260  0.6260
Si  0.0000  0.8740  0.3740
Si  0.0000  0.6260  0.8740
Si  0.0000  0.3740  0.1260
Hg  0.0000  0.0000  0.0000
Hg  0.0000  0.5000  0.5000
Pd  0.5000  0.2163  0.0677
Pd  0.5000  0.7837  0.9323
Pd  0.5000  0.0677  0.7837
Pd  0.5000  0.7163  0.4323
Pd  0.5000  0.9323  0.2163
Pd  0.5000  0.2837  0.5677
Pd  0.5000  0.5677  0.7163
Pd  0.5000  0.4323  0.2837
Pd  0.5000  0.5000  0.0000
Pd  0.5000  0.0000  0.5000

Calculated values
magnetic moment: 0.0 Bohr magnetons per cell
symmetry: P4/mbm (127)
calculated total energy: -4.4224 eV/atom
formation energy without anion corrections: -0.45 eV per atom
DOS at the Fermi energy: 2.9 states/eV/f.u.

This record from the Alexandria database describes a relaxed NaSmHgPd crystal. The functional is PBE-GGA.

Cell: 5.0852 5.0852 5.0852 Å, 60.00 60.00 60.00°
Fractional coordinates of all 4 atoms:
Na  0.0000  0.0000  0.0000
Pd  0.2500  0.2500  0.2500
Hg  0.7500  0.7500  0.7500
Sm  0.5000  0.5000  0.5000

Calculated values
magnetic moment: 0.0 Bohr magnetons per cell
ΔH_f (0 K): -8.82 kcal/mol of atoms
symmetry: F-43m (216)
calculated total energy: -3.2657 eV/atom
DOS at the Fermi energy: 2.5 states/eV/f.u.

This record from the Alexandria database describes a relaxed NaSnHg2Pd crystal. The functional is PBE-GGA.

Cell: 5.3260 5.3260 5.1191 Å, 90.00 90.00 90.00°
Fractional coordinates of all 5 atoms:
Na  0.5000  0.5000  0.5000
Hg  0.0000  0.5000  0.0000
Hg  0.5000  0.0000  0.0000
Pd  0.0000  0.0000  0.0000
Sn  0.0000  0.0000  0.5000

Calculated values
magnetic moment: 0.0 Bohr magnetons per cell
ΔH_f (0 K): -2.13 kcal/mol of atoms
symmetry: P4/mmm (123)
calculated total energy: -2.3162 eV/atom
DOS at the Fermi energy: 2.2 states/eV/f.u.

This record from the Alexandria database describes a relaxed NaSrHg2Pd crystal. The functional is PBE-GGA.

Cell: 5.3402 5.3402 5.1639 Å, 90.00 90.00 90.00°
Fractional coordinates of all 5 atoms:
Sr  0.5000  0.5000  0.5000
Hg  0.0000  0.5000  0.0000
Hg  0.5000  0.0000  0.0000
Pd  0.0000  0.0000  0.0000
Na  0.0000  0.0000  0.5000

Calculated values
magnetic moment: 0.0 Bohr magnetons per cell
distance to the lowest polymorph of the same formula: 11 meV/atom
ΔH_f (0 K): -5.08 kcal/mol of atoms
symmetry: P4/mmm (123)
calculated total energy: -1.9795 eV/atom
DOS at the Fermi energy: 2.8 states/eV/f.u.

This record from the Alexandria database describes a relaxed NaSr2Hg2Pd5 crystal. The functional is PBE-GGA.

Cell: 4.1959 10.2579 10.2579 Å, 90.00 90.00 90.00°
Fractional coordinates of all 20 atoms:
Na  0.0000  0.0000  0.0000
Na  0.0000  0.5000  0.5000
Sr  0.0000  0.6761  0.1761
Sr  0.0000  0.3239  0.8239
Sr  0.0000  0.1761  0.3239
Sr  0.0000  0.8239  0.6761
Hg  0.0000  0.1217  0.6217
Hg  0.0000  0.8783  0.3783
Hg  0.0000  0.6217  0.8783
Hg  0.0000  0.3783  0.1217
Pd  0.5000  0.2023  0.0608
Pd  0.5000  0.7977  0.9392
Pd  0.5000  0.0608  0.7977
Pd  0.5000  0.7023  0.4392
Pd  0.5000  0.9392  0.2023
Pd  0.5000  0.2977  0.5608
Pd  0.5000  0.5608  0.7023
Pd  0.5000  0.4392  0.2977
Pd  0.5000  0.5000  0.0000
Pd  0.5000  0.0000  0.5000

Calculated values
magnetic moment: 0.0 Bohr magnetons per cell
ΔH_f (0 K): -7.49 kcal/mol of atoms
symmetry: P4/mbm (127)
calculated total energy: -3.4497 eV/atom
DOS at the Fermi energy: 2.8 states/eV/f.u.

This record from the Alexandria database describes a relaxed NaSrHg2Pd crystal. The functional is PBE-GGA.

Cell: 5.4205 5.4205 5.5178 Å, 90.00 90.00 90.00°
Fractional coordinates of all 5 atoms:
Sr  0.0000  0.0000  0.5000
Hg  0.0000  0.5000  0.0000
Hg  0.5000  0.0000  0.0000
Pd  0.0000  0.0000  0.0000
Na  0.5000  0.5000  0.5000

Calculated values
magnetic moment: 0.0 Bohr magnetons per cell
distance to the lowest polymorph of the same formula: 0 meV/atom
ΔH_f (0 K): -5.34 kcal/mol of atoms
symmetry: P4/mmm (123)
calculated total energy: -1.9909 eV/atom
DOS at the Fermi energy: 2.7 states/eV/f.u.

This record from the Alexandria database describes a relaxed NaTa2HgPd crystal. The functional is PBE-GGA.

Cell: 5.1076 5.1308 5.1076 Å, 90.00 90.00 90.00°
Fractional coordinates of all 5 atoms:
Na  0.5000  0.5000  0.5000
Hg  0.0000  0.0000  0.0000
Pd  0.0000  0.5000  0.0000
Ta  0.0000  0.0000  0.5000
Ta  0.5000  0.0000  0.0000

Calculated values
magnetic moment: 0.0 Bohr magnetons per cell
distance to the lowest polymorph of the same formula: 566 meV/atom
ΔH_f (0 K): 41.27 kcal/mol of atoms
symmetry: P4/mmm (123)
calculated total energy: -4.3141 eV/atom
DOS at the Fermi energy: 6.3 states/eV/f.u.

This record from the Alexandria database describes a relaxed NaTa2HgPd crystal. The functional is PBE-GGA.

Cell: 4.9228 5.2596 4.9228 Å, 90.00 90.00 90.00°
Fractional coordinates of all 5 atoms:
Na  0.5000  0.5000  0.5000
Hg  0.0000  0.5000  0.0000
Pd  0.0000  0.0000  0.0000
Ta  0.0000  0.0000  0.5000
Ta  0.5000  0.0000  0.0000

Calculated values
magnetic moment: 1.9 Bohr magnetons per cell
distance to the lowest polymorph of the same formula: 0 meV/atom
ΔH_f (0 K): 28.22 kcal/mol of atoms
symmetry: P4/mmm (123)
calculated total energy: -4.8800 eV/atom
DOS at the Fermi energy: 7.0 states/eV/f.u.

This record from the Alexandria database describes a relaxed NaHg2TePd crystal. The functional is PBE-GGA.

Cell: 5.2659 5.2659 5.5235 Å, 90.00 90.00 90.00°
Fractional coordinates of all 5 atoms:
Na  0.5000  0.5000  0.5000
Te  0.0000  0.0000  0.5000
Hg  0.0000  0.5000  0.0000
Hg  0.5000  0.0000  0.0000
Pd  0.0000  0.0000  0.0000

Calculated values
magnetic moment: 0.0 Bohr magnetons per cell
symmetry: P4/mmm (123)
calculated total energy: -2.2678 eV/atom
formation energy without anion corrections: -0.22 eV per atom
DOS at the Fermi energy: 2.1 states/eV/f.u.